#P
{"formula": "Cd3MoC", "functional": "PBE-GGA", "state": "relaxed", "crystal_system": "cubic", "space_group": "Pm-3m, No. 221", "total_magnetization_mub_per_cell": 6.282, "lattice": [[5.5625, 0.0000, 0.0000], [0.0000, 5.5625, 0.0000], [0.0000, 0.0000, 5.5625]], "species": ["Cd", "Cd", "Cd", "Mo", "C"], "fractional_positions": [[0.0000, 0.0000, 0.5000], [0.0000, 0.5000, 0.0000], [0.5000, 0.0000, 0.0000], [0.0000, 0.0000, 0.0000], [0.5000, 0.5000, 0.5000]]}

---

#Q
{"formula": "Cd3MoC", "functional": "PBE-GGA", "state": "relaxed", "crystal_system": "cubic", "space_group": "Pm-3m, No. 221", "total_magnetization_mub_per_cell": 3.524, "lattice": [[4.5877, 0.0000, 0.0000], [0.0000, 4.5877, 0.0000], [0.0000, 0.0000, 4.5877]], "species": ["Cd", "Cd", "Cd", "Mo", "C"], "fractional_positions": [[0.0000, 0.0000, 0.5000], [0.0000, 0.5000, 0.0000], [0.5000, 0.0000, 0.0000], [0.5000, 0.5000, 0.5000], [0.0000, 0.0000, 0.0000]]}

---

Computed relative energies in units of kJ/mol of atoms: #P 91.7; #Q 0.0

---

#P
{"formula": "CdMo2C", "functional": "PBE-GGA", "state": "relaxed", "crystal_system": "cubic", "space_group": "Fm-3m, No. 225", "total_magnetization_mub_per_cell": 0.000, "lattice": [[0.0000, 3.0562, 3.0562], [3.0562, 0.0000, 3.0562], [3.0562, 3.0562, 0.0000]], "species": ["Cd", "Mo", "Mo", "C"], "fractional_positions": [[0.0000, 0.0000, 0.0000], [0.2500, 0.2500, 0.2500], [0.7500, 0.7500, 0.7500], [0.5000, 0.5000, 0.5000]]}

---

#Q
{"formula": "CdMo2C", "functional": "PBE-GGA", "state": "relaxed", "crystal_system": "tetragonal", "space_group": "I-42d, No. 122", "total_magnetization_mub_per_cell": 0.000, "lattice": [[-2.5811, 2.5811, 5.7058], [2.5811, -2.5811, 5.7058], [2.5811, 2.5811, -5.7058]], "species": ["Cd", "Cd", "Mo", "Mo", "Mo", "Mo", "C", "C"], "fractional_positions": [[0.0000, 0.0000, 0.0000], [0.7500, 0.2500, 0.5000], [0.2735, 0.6250, 0.1485], [0.3750, 0.5235, 0.6485], [0.4765, 0.1250, 0.8515], [0.8750, 0.7265, 0.3515], [0.2500, 0.7500, 0.5000], [0.5000, 0.5000, 0.0000]]}

---

Computed relative energies in units of kJ/mol of atoms: #P 47.1; #Q 0.0